Record 1
Here is a relaxed TaRu2O crystal from Alexandria via LeMat-Bulk. Energies are from PBE-GGA.

Calculated values
Electronic total energy   -0.3198 hartree per atom
Total magnetization   0.00 μB/cell
Crystal system   tetragonal
ΔE_f (raw)   139 meV/atom

```
data_TaRu2O
_chemical_formula_sum 'Ta4 Ru8 O4'
_cell_length_a 5.214
_cell_length_b 5.214
_cell_length_c 9.857
_cell_angle_alpha 90.00
_cell_angle_beta 90.00
_cell_angle_gamma 90.00
_symmetry_space_group_name_H-M 'I -4 2 d'
_symmetry_Int_Tables_number 122
_symmetry_space_group_name_Hall 'I -4 2bw'
loop_
_atom_site_label
_atom_site_fract_x
_atom_site_fract_y
_atom_site_fract_z
Ta1 0.000 0.000 0.000
Ru1 0.164 0.250 0.625
O1 0.000 0.000 0.500
```

***

Record 2
Here is a relaxed Ta2RuO crystal from Alexandria via LeMat-Bulk. Energies are from PBE-GGA.

Calculated values
Electronic total energy   -0.3665 hartree per atom
Total magnetization   0.00 μB/cell
Crystal system   tetragonal
ΔE_f (raw)   -489 meV/atom

```
data_Ta2RuO
_chemical_formula_sum 'Ta8 Ru4 O4'
_cell_length_a 5.091
_cell_length_b 5.091
_cell_length_c 10.757
_cell_angle_alpha 90.00
_cell_angle_beta 90.00
_cell_angle_gamma 90.00
_symmetry_space_group_name_H-M 'I -4 2 d'
_symmetry_Int_Tables_number 122
_symmetry_space_group_name_Hall 'I -4 2bw'
loop_
_atom_site_label
_atom_site_fract_x
_atom_site_fract_y
_atom_site_fract_z
Ta1 0.171 0.250 0.125
Ru1 0.000 0.000 0.500
O1 0.000 0.000 0.000
```

***

Record 3
Here is a relaxed TaTeRu2O crystal from Alexandria via LeMat-Bulk. Energies are from PBE-GGA.

Calculated values
Electronic total energy   -0.2061 hartree per atom
Total magnetization   2.75 μB/cell
Crystal system   tetragonal
ΔE_f (raw)   2093 meV/atom

```
data_TaTeRu2O
_chemical_formula_sum 'Ta1 Te1 Ru2 O1'
_cell_length_a 4.797
_cell_length_b 4.797
_cell_length_c 5.151
_cell_angle_alpha 90.00
_cell_angle_beta 90.00
_cell_angle_gamma 90.00
_symmetry_space_group_name_H-M 'P 4/m m m'
_symmetry_Int_Tables_number 123
_symmetry_space_group_name_Hall '-P 4 2'
loop_
_atom_site_label
_atom_site_fract_x
_atom_site_fract_y
_atom_site_fract_z
Ta1 0.000 0.000 0.000
Te1 0.000 0.000 0.500
Ru1 0.000 0.500 0.500
O1 0.500 0.500 0.000
```

***

Record 4
Here is a relaxed TaZnRuO6 crystal from Alexandria via LeMat-Bulk. Energies are from PBE-GGA.

Calculated values
Electronic total energy   -0.2751 hartree per atom
Total magnetization   5.82 μB/cell
Crystal system   tetragonal
ΔE_f (raw)   -1692 meV/atom

```
data_TaZnRuO6
_chemical_formula_sum 'Ta2 Zn2 Ru2 O12'
_cell_length_a 4.748
_cell_length_b 4.748
_cell_length_c 9.206
_cell_angle_alpha 90.00
_cell_angle_beta 90.00
_cell_angle_gamma 90.00
_symmetry_space_group_name_H-M 'P 42 n m'
_symmetry_Int_Tables_number 102
_symmetry_space_group_name_Hall 'P 4n -2n'
loop_
_atom_site_label
_atom_site_fract_x
_atom_site_fract_y
_atom_site_fract_z
Ta1 0.000 0.000 0.000
Zn1 0.000 0.000 0.330
Ru1 0.000 0.000 0.663
O1 0.188 0.188 0.829
O2 0.201 0.201 0.507
O3 0.207 0.207 0.153
```

***

- What is the formula in the third record?
  TaTeRu2O